# PBE KCa3Se, optimized geometry
# E_form (uncorrected) = 4.03 eV/f.u.
# Offset from the most stable computed form = 1.343 eV per atom
data_KCa3Se
_chemical_formula_sum 'K1 Ca3 Se1'
_space_group_name_H-M_alt 'P m -3 m'
_space_group_IT_number 221
_space_group_name_Hall '-P 4 2 3'
_cell_length_a 6.376
_cell_length_b 6.376
_cell_length_c 6.376
_cell_angle_alpha 90.00
_cell_angle_beta 90.00
_cell_angle_gamma 90.00
loop_
_atom_site_label
_atom_site_type_symbol
_atom_site_fract_x
_atom_site_fract_y
_atom_site_fract_z
_atom_site_occupancy
K1 K 0.000 0.000 0.000 1
Ca1 Ca 0.000 0.000 0.500 1
Se1 Se 0.500 0.500 0.500 1

***

# PBE Cs7KAu2, optimized geometry
# E_form = -113.9 meV/atom
data_Cs7KAu2
_chemical_formula_sum 'Cs14 K2 Au4'
_space_group_name_H-M_alt 'C m m m'
_space_group_IT_number 65
_space_group_name_Hall '-C 2 2'
_cell_length_a 11.850
_cell_length_b 19.148
_cell_length_c 7.183
_cell_angle_alpha 90.00
_cell_angle_beta 90.00
_cell_angle_gamma 90.00
loop_
_atom_site_label
_atom_site_type_symbol
_atom_site_fract_x
_atom_site_fract_y
_atom_site_fract_z
_atom_site_occupancy
Cs1 Cs 0.000 0.000 0.000 1
Cs2 Cs 0.000 0.198 0.500 1
Cs3 Cs 0.192 0.357 0.000 1
K1 K 0.000 0.500 0.500 1
Au1 Au 0.000 0.198 0.000 1

***

# PBE LiPm2InH, optimized geometry
# E = -0.287 Ry per atom
data_LiPm2InH
_chemical_formula_sum 'Li1 Pm2 In1 H1'
_space_group_name_H-M_alt 'P 4/m m m'
_space_group_IT_number 123
_space_group_name_Hall '-P 4 2'
_cell_length_a 5.057
_cell_length_b 5.057
_cell_length_c 4.229
_cell_angle_alpha 90.00
_cell_angle_beta 90.00
_cell_angle_gamma 90.00
loop_
_atom_site_label
_atom_site_type_symbol
_atom_site_fract_x
_atom_site_fract_y
_atom_site_fract_z
_atom_site_occupancy
Li1 Li 0.000 0.000 0.000 1
Pm1 Pm 0.000 0.500 0.500 1
In1 In 0.500 0.500 0.000 1
H1 H 0.000 0.000 0.500 1

***

# PBE CePaSn2, optimized geometry
# E_form = -344.4 meV/atom
# Offset from the most stable computed form = 0.030 eV per atom
data_CePaSn2
_chemical_formula_sum 'Ce1 Pa1 Sn2'
_space_group_name_H-M_alt 'P 4/m m m'
_space_group_IT_number 123
_space_group_name_Hall '-P 4 2'
_cell_length_a 4.845
_cell_length_b 4.845
_cell_length_c 4.494
_cell_angle_alpha 90.00
_cell_angle_beta 90.00
_cell_angle_gamma 90.00
loop_
_atom_site_label
_atom_site_type_symbol
_atom_site_fract_x
_atom_site_fract_y
_atom_site_fract_z
_atom_site_occupancy
Ce1 Ce 0.000 0.000 0.000 1
Pa1 Pa 0.500 0.500 0.000 1
Sn1 Sn 0.000 0.500 0.500 1

***

# PBE LiGdDy, optimized geometry
# E_form = 80.4 meV/atom
# Offset from the most stable computed form = 0.000 eV per atom
data_LiGdDy
_chemical_formula_sum 'Li2 Gd2 Dy2'
_space_group_name_H-M_alt 'I 4 m m'
_space_group_IT_number 107
_space_group_name_Hall 'I 4 -2'
_cell_length_a 3.665
_cell_length_b 3.665
_cell_length_c 12.518
_cell_angle_alpha 90.00
_cell_angle_beta 90.00
_cell_angle_gamma 90.00
loop_
_atom_site_label
_atom_site_type_symbol
_atom_site_fract_x
_atom_site_fract_y
_atom_site_fract_z
_atom_site_occupancy
Li1 Li 0.000 0.000 0.000 1
Gd1 Gd 0.000 0.000 0.658 1
Dy1 Dy 0.000 0.000 0.347 1

***

# PBE AgBi3Pb6, optimized geometry
# E_form = 55.2 meV/atom
# Offset from the most stable computed form = 0.000 eV per atom
data_AgBi3Pb6
_chemical_formula_sum 'Ag2 Bi6 Pb12'
_space_group_name_H-M_alt 'P -1'
_space_group_IT_number 2
_cell_length_a 6.070
_cell_length_b 9.472
_cell_length_c 11.901
_cell_angle_alpha 109.12
_cell_angle_beta 100.63
_cell_angle_gamma 100.37
loop_
_space_group_symop_operation_xyz
'x,y,z'
'-x,-y,-z'
loop_
_atom_site_label
_atom_site_type_symbol
_atom_site_fract_x
_atom_site_fract_y
_atom_site_fract_z
_atom_site_occupancy
Ag1 Ag 0.221 0.124 0.091 1
Bi1 Bi 0.225 0.744 0.508 1
Bi2 Bi 0.232 0.962 0.286 1
Bi3 Bi 0.272 0.334 0.917 1
Pb1 Pb 0.215 0.750 0.989 1
Pb2 Pb 0.243 0.539 0.696 1
Pb3 Pb 0.252 0.558 0.204 1
Pb4 Pb 0.257 0.339 0.381 1
Pb5 Pb 0.266 0.138 0.593 1
Pb6 Pb 0.279 0.956 0.818 1